No. 1
This record from OQMD describes a relaxed structure of PrInPO. The functional is PBE-GGA.

Values from the calculation:
- E above lowest polymorph: 0 meV/atom

Structure (CIF):
```
data_PrInPO
_space_group_name_H-M_alt 'P 1'
_space_group_IT_number 1
_cell_length_a 4.451
_cell_length_b 4.451
_cell_length_c 8.347
_cell_angle_alpha 90.00
_cell_angle_beta 90.00
_cell_angle_gamma 90.00
loop_
_space_group_symop_operation_xyz
'x,y,z'
loop_
_atom_site_label
_atom_site_fract_x
_atom_site_fract_y
_atom_site_fract_z
_atom_site_occupancy
Pr1 0.250 0.250 0.115 1
Pr2 0.750 0.750 0.885 1
In1 0.250 0.750 0.500 1
In2 0.750 0.250 0.500 1
P1 0.250 0.250 0.682 1
P2 0.750 0.750 0.318 1
O1 0.250 0.750 0.000 1
O2 0.750 0.250 0.000 1
```

=====

No. 2
This record from OQMD describes a relaxed structure of BeAg2Ge. The functional is PBE-GGA.

Values from the calculation:
- Total energy: -3.122 eV/atom

Structure (CIF):
```
data_BeAg2Ge
_space_group_name_H-M_alt 'P 1'
_space_group_IT_number 1
_cell_length_a 4.519
_cell_length_b 4.519
_cell_length_c 4.519
_cell_angle_alpha 60.00
_cell_angle_beta 60.00
_cell_angle_gamma 60.00
loop_
_space_group_symop_operation_xyz
'x,y,z'
loop_
_atom_site_label
_atom_site_fract_x
_atom_site_fract_y
_atom_site_fract_z
_atom_site_occupancy
Be1 0.000 0.000 0.000 1
Ag1 0.250 0.250 0.250 1
Ag2 0.500 0.500 0.500 1
Ge1 0.750 0.750 0.750 1
```